1.
# NdZn2Ag

NdZn2Ag after structural relaxation (PBE-GGA, the Alexandria database).

Geometry as CIF:
```
data_NdZn2Ag
_chemical_formula_sum 'Nd1 Zn2 Ag1'
_symmetry_space_group_name_H-M 'P 1'
_symmetry_Int_Tables_number 1
_cell_length_a 4.3807
_cell_length_b 4.3807
_cell_length_c 4.5595
_cell_angle_alpha 90.00
_cell_angle_beta 90.00
_cell_angle_gamma 90.00
loop_
_symmetry_equiv_pos_as_xyz
'x,y,z'
loop_
_atom_site_label
_atom_site_type_symbol
_atom_site_fract_x
_atom_site_fract_y
_atom_site_fract_z
_atom_site_occupancy
Nd1 Nd 0.0000 0.0000 0.0000 1
Zn1 Zn 0.0000 0.5000 0.5000 1
Zn2 Zn 0.5000 0.0000 0.5000 1
Ag1 Ag 0.5000 0.5000 0.0000 1
```

Values from the calculation:
Formation enthalpy at 0 K   -0.1147 eV per atom
Energy   -10.6 eV/f.u.

***

2.
# Nd6ZnAg2

Nd6ZnAg2 after structural relaxation (PBE-GGA, the Alexandria database).

Geometry as CIF:
```
data_Nd6ZnAg2
_chemical_formula_sum 'Nd12 Zn2 Ag4'
_symmetry_space_group_name_H-M 'P 1'
_symmetry_Int_Tables_number 1
_cell_length_a 8.8543
_cell_length_b 8.8543
_cell_length_c 8.8543
_cell_angle_alpha 110.81
_cell_angle_beta 109.59
_cell_angle_gamma 108.02
loop_
_symmetry_equiv_pos_as_xyz
'x,y,z'
loop_
_atom_site_label
_atom_site_type_symbol
_atom_site_fract_x
_atom_site_fract_y
_atom_site_fract_z
_atom_site_occupancy
Nd1 Nd 0.0555 0.2264 0.8291 1
Nd2 Nd 0.2550 0.3061 0.5611 1
Nd3 Nd 0.2550 0.6939 0.9490 1
Nd4 Nd 0.2620 0.5885 0.3265 1
Nd5 Nd 0.2620 0.9355 0.6735 1
Nd6 Nd 0.3973 0.2264 0.1709 1
Nd7 Nd 0.6027 0.7736 0.8291 1
Nd8 Nd 0.7380 0.0645 0.3265 1
Nd9 Nd 0.7380 0.4115 0.6735 1
Nd10 Nd 0.7450 0.3061 0.0510 1
Nd11 Nd 0.7450 0.6939 0.4389 1
Nd12 Nd 0.9445 0.7736 0.1709 1
Zn1 Zn 0.0000 0.5000 0.5000 1
Zn2 Zn 0.5000 0.5000 0.0000 1
Ag1 Ag 0.0000 0.1441 0.1441 1
Ag2 Ag 0.0000 0.8559 0.8559 1
Ag3 Ag 0.3651 0.0000 0.3651 1
Ag4 Ag 0.6349 0.0000 0.6349 1
```

Values from the calculation:
Formation enthalpy at 0 K   -0.1325 eV per atom
Energy   -36.8 eV/f.u.

***

3.
# NdZn4Ag2

NdZn4Ag2 after structural relaxation (PBE-GGA, the Alexandria database).

Geometry as CIF:
```
data_NdZn4Ag2
_chemical_formula_sum 'Nd2 Zn8 Ag4'
_symmetry_space_group_name_H-M 'P 1'
_symmetry_Int_Tables_number 1
_cell_length_a 8.6929
_cell_length_b 6.8684
_cell_length_c 5.4219
_cell_angle_alpha 90.00
_cell_angle_beta 128.05
_cell_angle_gamma 90.00
loop_
_symmetry_equiv_pos_as_xyz
'x,y,z'
loop_
_atom_site_label
_atom_site_type_symbol
_atom_site_fract_x
_atom_site_fract_y
_atom_site_fract_z
_atom_site_occupancy
Nd1 Nd 0.0000 0.0000 0.0000 1
Nd2 Nd 0.5000 0.5000 0.0000 1
Zn1 Zn 0.1889 0.1887 0.6888 1
Zn2 Zn 0.1889 0.8113 0.6888 1
Zn3 Zn 0.3111 0.3113 0.3112 1
Zn4 Zn 0.3111 0.6887 0.3112 1
Zn5 Zn 0.6889 0.3113 0.6888 1
Zn6 Zn 0.6889 0.6887 0.6888 1
Zn7 Zn 0.8111 0.1887 0.3112 1
Zn8 Zn 0.8111 0.8113 0.3112 1
Ag1 Ag 0.0010 0.5000 0.7509 1
Ag2 Ag 0.4990 0.0000 0.2491 1
Ag3 Ag 0.5010 0.0000 0.7509 1
Ag4 Ag 0.9990 0.5000 0.2491 1
```

Values from the calculation:
Formation enthalpy at 0 K   -0.2181 eV per atom
Energy   -17.1 eV/f.u.